No. 1
! PBE BaMn2Ni, relaxed; values from VASP
&SYSTEM
  ibrav = 0, nat = 4, ntyp = 3
/
ATOMIC_SPECIES
Ba 137.33 Ba.upf
Ni 58.69 Ni.upf
Mn 54.94 Mn.upf
CELL_PARAMETERS angstrom
5.2140 -0.7073 -0.5761
0.8289 5.1960 0.5761
-2.1297 -3.4448 3.4081
ATOMIC_POSITIONS angstrom
Ba 0.8903 2.0201 1.9921
Ni 3.6650 2.7225 0.0000
Mn 2.8171 -1.1290 1.4160
Mn 5.6049 4.1634 0.0000
! DFT formation energy   684 meV per atom
! Energy above the lowest structure with this stoichiometry   426 meV/atom

=====

No. 2
! PBE Ac12Tl2Ge5, relaxed; values from VASP
&SYSTEM
  ibrav = 0, nat = 19, ntyp = 3
/
ATOMIC_SPECIES
Ge 72.64 Ge.upf
Ac 227.00 Ac.upf
Tl 204.38 Tl.upf
CELL_PARAMETERS angstrom
-6.9259 1.5677 -3.3266
-0.6662 -1.3586 9.9891
2.7513 10.0533 -0.9904
ATOMIC_POSITIONS angstrom
Ge 1.3756 5.0267 -0.4952
Ac 1.4806 8.2507 5.1906
Ac 1.8551 8.0558 -0.0660
Tl -2.0816 0.4712 -0.9998
Ac -1.4007 5.7806 1.1120
Ge -2.6756 8.7895 0.4702
Ac -6.3214 2.0116 0.4815
Ac -1.8053 8.9945 3.6123
Ac -3.4401 4.4818 4.5601
Tl -4.8443 1.0965 -2.3268
Ge -4.1447 4.1698 1.3517
Ac -2.7073 3.6297 -1.8954
Ge -2.1652 1.4729 5.2019
Ac -3.0355 1.2679 2.0598
Ac -2.1335 6.6327 7.5675
Ge -0.6961 6.0926 4.3203
Ac -4.9333 6.5802 -0.5848
Ac -6.6959 2.2066 5.7381
Ac 0.0925 3.6822 6.2568
! DFT formation energy   -314 meV per atom

=====

Question: The lowest DFT formation energy belongs to which entry?
Answer: Ac12Tl2Ge5

=====

Question: What is the DFT formation energy in the first record?
Answer: 684 meV per atom